(1)
Entry from the Alexandria database: crystalline CdSb2Au at its relaxed geometry (GGA-PBEsol).

Results
V ... 22.8 Å³ per atom
ΔE_f (raw) ... 3.24 kcal/mol of atoms
Calculated total energy ... -3.418 eV/atom

abc: 3.856 3.856 6.143
angles: 90.00 90.00 90.00
Atoms (fractional coordinates):
Cd: 0.000 0.000 0.000
Sb: 0.500 0.500 0.265
Sb: 0.500 0.500 0.735
Au: 0.000 0.000 0.500

=====

(2)
Entry from the Alexandria database: crystalline CdSb2Au at its relaxed geometry (GGA-PBEsol).

Results
V ... 22.8 Å³ per atom
ΔE_f (raw) ... 3.37 kcal/mol of atoms
Calculated total energy ... -3.413 eV/atom

abc: 4.884 4.884 3.933
angles: 90.00 90.00 103.85
Atoms (fractional coordinates):
Cd: 0.000 0.000 0.000
Sb: 0.000 0.500 0.500
Sb: 0.500 0.000 0.500
Au: 0.500 0.500 0.000

=====

(3)
Entry from the Alexandria database: crystalline CdSbAu2 at its relaxed geometry (GGA-PBEsol).

Results
V ... 21.9 Å³ per atom
ΔE_f (raw) ... -0.60 kcal/mol of atoms
Calculated total energy ... -3.427 eV/atom

abc: 3.966 3.966 5.580
angles: 90.00 90.00 90.00
Atoms (fractional coordinates):
Cd: 0.000 0.000 0.000
Sb: 0.500 0.500 0.500
Au: 0.000 0.000 0.500
Au: 0.500 0.500 0.000

=====

(4)
Entry from the Alexandria database: crystalline CdSbAu2 at its relaxed geometry (GGA-PBEsol).

Results
V ... 19.8 Å³ per atom
ΔE_f (raw) ... -0.04 kcal/mol of atoms
Calculated total energy ... -3.402 eV/atom

abc: 4.479 4.479 3.952
angles: 90.00 90.00 90.00
Atoms (fractional coordinates):
Cd: 0.000 0.000 0.000
Sb: 0.500 0.500 0.000
Au: 0.000 0.500 0.500
Au: 0.500 0.000 0.500

=====

Computed values of total moment (unit: μB per cell) for the preceding records, in sequence: 0.00; 0.00; 0.00; 0.00.